A plane-wave DFT calculation with PBE was carried out for a geometry-optimized AlFe3Ge structure.

The structure belongs to space group Pm-3m (No. 221); the cell edges are 4.3556, 4.3556 and 4.3556 Å and the angles 90.00°, 90.00° and 90.00°. The asymmetric unit holds Al at (0.0000, 0.0000, 0.0000), Fe at (0.0000, 0.0000, 0.5000) and Ge at (0.5000, 0.5000, 0.5000).

The calculation puts the energy above the most stable polymorph in this dataset at 1180 meV per atom. The value obtained for the total energy is -5.7362 eV/atom. The calculation puts the formation energy at 488.9 kJ/mol of formula units.